The following is a DFT calculation (GGA-PBE) of a relaxed LiGdAlAg crystal.

Unit cell a=6.783 b=6.783 c=6.783 alpha=90.00 beta=90.00 gamma=90.00
Space group F-43m (No. 216)
Asymmetric unit:
Li 0.000 0.000 0.000 [4 per cell]
Gd 0.250 0.250 0.250 [4 per cell]
Al 0.250 0.250 0.750 [4 per cell]
Ag 0.000 0.000 0.500 [4 per cell]

Energy of formation (eV per atom): -0.301
Total moment (μB per atom): 1.776

The following is a DFT calculation (GGA-PBE) of a relaxed GdLuAlAg crystal.

Unit cell a=7.250 b=7.250 c=7.250 alpha=90.00 beta=90.00 gamma=90.00
Space group F-43m (No. 216)
Asymmetric unit:
Gd 0.000 0.000 0.000 [4 per cell]
Lu 0.000 0.000 0.500 [4 per cell]
Al 0.250 0.250 0.750 [4 per cell]
Ag 0.250 0.250 0.250 [4 per cell]

Energy of formation (eV per atom): -0.340
Total moment (μB per atom): 1.839

The following is a DFT calculation (GGA-PBE) of a relaxed GdMgAlAg crystal.

Unit cell a=7.018 b=7.018 c=7.018 alpha=90.00 beta=90.00 gamma=90.00
Space group F-43m (No. 216)
Asymmetric unit:
Gd 0.000 0.000 0.000 [4 per cell]
Mg 0.000 0.000 0.500 [4 per cell]
Al 0.250 0.250 0.250 [4 per cell]
Ag 0.250 0.250 0.750 [4 per cell]

Energy of formation (eV per atom): -0.292
Total moment (μB per atom): 1.766

The following is a DFT calculation (GGA-PBE) of a relaxed GdAlNiAg crystal.

Unit cell a=6.657 b=6.657 c=6.657 alpha=90.00 beta=90.00 gamma=90.00
Space group F-43m (No. 216)
Asymmetric unit:
Gd 0.000 0.000 0.000 [4 per cell]
Al 0.000 0.000 0.500 [4 per cell]
Ni 0.250 0.250 0.250 [4 per cell]
Ag 0.250 0.250 0.750 [4 per cell]

Energy of formation (eV per atom): -0.275
Total moment (μB per atom): 1.827

The following is a DFT calculation (GGA-PBE) of a relaxed GdAlAgPd crystal.

Unit cell a=6.792 b=6.792 c=6.792 alpha=90.00 beta=90.00 gamma=90.00
Space group F-43m (No. 216)
Asymmetric unit:
Gd 0.000 0.000 0.000 [4 per cell]
Al 0.000 0.000 0.500 [4 per cell]
Ag 0.250 0.250 0.250 [4 per cell]
Pd 0.250 0.250 0.750 [4 per cell]

Energy of formation (eV per atom): -0.513
Total moment (μB per atom): 1.813

The following is a DFT calculation (GGA-PBE) of a relaxed PmGdAlAg crystal.

Unit cell a=7.406 b=7.406 c=7.406 alpha=90.00 beta=90.00 gamma=90.00
Space group F-43m (No. 216)
Asymmetric unit:
Pm 0.000 0.000 0.000 [4 per cell]
Gd 0.000 0.000 0.500 [4 per cell]
Al 0.250 0.250 0.250 [4 per cell]
Ag 0.250 0.250 0.750 [4 per cell]

Energy of formation (eV per atom): -0.323
Total moment (μB per atom): 1.943

The following is a DFT calculation (GGA-PBE) of a relaxed PrGdAlAg crystal.

Unit cell a=7.460 b=7.460 c=7.460 alpha=90.00 beta=90.00 gamma=90.00
Space group F-43m (No. 216)
Asymmetric unit:
Pr 0.000 0.000 0.000 [4 per cell]
Gd 0.000 0.000 0.500 [4 per cell]
Al 0.250 0.250 0.750 [4 per cell]
Ag 0.250 0.250 0.250 [4 per cell]

Energy of formation (eV per atom): -0.307
Total moment (μB per atom): 1.945

The following is a DFT calculation (GGA-PBE) of a relaxed GdPuAlAg crystal.

Unit cell a=7.363 b=7.363 c=7.363 alpha=90.00 beta=90.00 gamma=90.00
Space group F-43m (No. 216)
Asymmetric unit:
Gd 0.000 0.000 0.000 [4 per cell]
Pu 0.000 0.000 0.500 [4 per cell]
Al 0.250 0.250 0.750 [4 per cell]
Ag 0.250 0.250 0.250 [4 per cell]

Energy of formation (eV per atom): -0.107
Total moment (μB per atom): 0.340